First-principles (PBE) data for a geometry-optimized RePb2Au structure, as listed in Alexandria via LeMat-Bulk.

Properties
The formation energy from the elements comes out at 0.83 eV per atom. The calculation puts the volume at 85.0 Å³/cell. For the energy above the most stable polymorph in this dataset, the calculation gives 249.5 meV per atom.

Lattice parameters (Å, degrees): 4.9881 4.9881 3.4351 90.02 90.02 95.77
Last column: nearest neighbours and their distance in Å.
Fractional coordinates of all 4 atoms:
Au: 0.0000 0.5000 0.5000  8 Pb 3.03, 2 Re 3.35
Pb: 0.0000 0.0000 0.0000  4 Au 3.03, 4 Re 3.03, 2 Pb 3.35
Pb: 0.5000 0.5000 0.0000  4 Re 3.03, 4 Au 3.03, 2 Pb 3.35
Re: 0.5000 0.0000 0.5000  8 Pb 3.03, 2 Au 3.35